{"formula": "AcPrGa2Pt2", "functional": "PBE", "state": "relaxed", "lattice_angstrom": [[4.5397, 0.0000, 0.0000], [-2.2698, 3.9315, 0.0000], [0.0000, 0.0000, 7.8431]], "species": ["Ac", "Pr", "Ga", "Ga", "Pt", "Pt"], "frac_coords": [[0.0000, 0.0000, 0.0000], [0.0000, 0.0000, 0.5000], [0.3333, 0.6667, 0.2712], [0.6667, 0.3333, 0.7288], [0.3333, 0.6667, 0.7345], [0.6667, 0.3333, 0.2655]], "ef_ev_per_atom": -0.986, "energy_ev_per_atom": -5.4895, "crystal_system": "trigonal", "spacegroup": "P-3m1, No. 164"}

{"formula": "BaPt", "functional": "PBE", "state": "relaxed", "lattice_angstrom": [[4.3822, 0.0000, 0.0000], [0.0000, 4.4130, 0.0000], [0.0000, 0.0000, 14.2375]], "species": ["Ba", "Ba", "Ba", "Ba", "Pt", "Pt", "Pt", "Pt"], "frac_coords": [[0.0000, 0.2500, 0.1231], [0.0000, 0.7500, 0.8769], [0.5000, 0.2500, 0.3769], [0.5000, 0.7500, 0.6231], [0.0000, 0.2500, 0.5569], [0.0000, 0.7500, 0.4431], [0.5000, 0.2500, 0.9431], [0.5000, 0.7500, 0.0569]], "ef_ev_per_atom": -0.567, "energy_ev_per_atom": -4.5492, "crystal_system": "orthorhombic", "spacegroup": "Imma, No. 74"}

{"formula": "LaAl2Se", "functional": "PBE", "state": "relaxed", "lattice_angstrom": [[9.7419, 0.0000, 0.0000], [0.0000, 3.9066, 0.0000], [-1.6922, 0.0000, 4.9348]], "species": ["La", "La", "Al", "Al", "Al", "Al", "Se", "Se"], "frac_coords": [[0.0000, 0.0000, 0.0000], [0.5000, 0.5000, 0.0000], [0.0003, 0.5000, 0.4980], [0.2700, 0.5000, 0.3485], [0.5003, 0.0000, 0.4980], [0.7700, 0.0000, 0.3485], [0.2333, 0.0000, 0.6757], [0.7333, 0.5000, 0.6757]], "e_form_raw_ev_per_atom": -0.5329, "energy_ev_per_atom": -4.5071, "crystal_system": "monoclinic", "spacegroup": "Cm, No. 8"}